A relaxed DyFe2BiO6 crystal, computed with GGA+U.

The total magnetization comes out at 1.00 μB per atom. Its uncorrected energy is -6.862 eV per atom.

It has space group R3 (No. 146, hexagonal axes), with a = 5.5574 Å, b = 5.5574 Å, c = 13.9975 Å, α = 90.00°, β = 90.00° and γ = 120.00°. The inequivalent atoms are Dy at (0.0000, 0.0000, 0.0000), Fe at (0.0000, 0.0000, 0.2760), Fe at (0.0000, 0.0000, 0.7775), Bi at (0.0000, 0.0000, 0.5007), O at (0.0165, 0.4255, 0.5424) and O at (0.0166, 0.6124, 0.0430).